Entry 1:
A geometry-optimized DyScPb2 structure. Source: Alexandria via LeMat-Bulk, functional GGA-PBE.

```
DyScPb2
1.0
3.7147 0.0000 0.0000
1.8573 3.2170 0.0000
1.8573 1.0723 9.2677
Pb Sc Dy
2 1 1
Cartesian
5.5720 3.2170 7.0593
1.8574 1.0723 2.2084
0.0000 0.0000 0.0000
3.7147 2.1447 4.6339
```

The calculation puts the density of states at the Fermi level at 2.226 states/eV/f.u. The value obtained for the density is 9.324 g cm⁻³. As for the energy relative to the elements: -0.30 eV per atom. For the total energy, the calculation gives -4.891 eV/atom.

***

Entry 2:
A geometry-optimized Ba2C structure. Source: Alexandria via LeMat-Bulk, functional GGA-PBE.

```
Ba2C
1.0
-2.3125 -0.6370 3.4930
-0.2292 -2.7369 -3.2268
11.3452 -8.0702 6.0392
Ba C
4 2
Cartesian
4.5711 -6.0381 0.7649
8.9248 -8.7439 8.0384
0.5157 -2.9681 0.9538
6.1189 -6.9333 4.1972
0.0927 -2.8737 -1.8882
4.3031 -5.4351 5.8475
```

The calculation puts the density of states at the Fermi level at 3.241 states/eV/f.u. The value obtained for the density is 4.037 g cm⁻³. As for the energy relative to the elements: 0.60 eV per atom. The calculation puts the energy relative to the lowest polymorph listed for this composition at 0.463 eV per atom. For the total energy, the calculation gives -3.757 eV/atom.

***

Entry 3:
A geometry-optimized NaTl4Pb4 structure. Source: Alexandria via LeMat-Bulk, functional GGA-PBE.

```
NaTl4Pb4
1.0
-6.8673 1.7842 1.9159
-2.2713 -1.3860 -6.8508
-2.0749 -11.1464 2.9429
Na Tl Pb
2 8 8
Cartesian
0.0000 0.0000 0.0000
-5.6067 -5.3741 -0.9960
-6.7474 -8.7485 -1.9422
-5.5910 -8.0429 1.5457
-6.7924 -1.8983 -1.3061
-3.2961 -2.8067 -2.2815
-2.3106 -2.5674 1.2855
-5.6816 -1.6916 2.2259
-2.0906 -8.4776 0.4012
-3.2056 -9.1579 -2.9617
-4.5784 -10.7524 -0.2489
-8.4501 -9.7465 0.8313
-5.3395 -0.8894 -4.2144
-4.0589 -0.1080 -0.3520
-2.5386 -5.8706 -3.6324
-1.5478 -5.2661 -0.6440
-3.1032 -5.7680 2.1958
-6.0987 -4.9898 3.0315
```

The calculation puts the density of states at the Fermi level at 4.533 states/eV/f.u. The value obtained for the density is 8.763 g cm⁻³. As for the energy relative to the elements: 0.05 eV per atom. The calculation puts the energy relative to the lowest polymorph listed for this composition at 0.088 eV per atom. For the total energy, the calculation gives -2.793 eV/atom.

***

Entry 4:
A geometry-optimized Er2MgIr2 structure. Source: Alexandria via LeMat-Bulk, functional GGA-PBE.

```
Er2MgIr2
1.0
-0.1412 2.6390 -4.6980
2.6516 -5.1167 0.1384
-7.8823 -1.5551 -0.6366
Er Mg Ir
4 2 4
Cartesian
-0.4596 -0.4270 -2.3611
-0.9274 -3.6452 -1.0625
-4.9123 -3.6058 -2.8351
-4.4444 -0.3875 -4.1337
-2.0919 1.8778 -4.1940
-5.9316 -0.7938 -1.1405
-1.9983 -2.5847 -3.5257
0.4701 1.1506 -4.5940
-3.3735 -1.4480 -1.6705
-5.8420 -5.1833 -0.6022
```

The calculation puts the density of states at the Fermi level at 1.613 states/eV/f.u. The value obtained for the density is 11.758 g cm⁻³. As for the energy relative to the elements: -0.76 eV per atom. For the total energy, the calculation gives -6.446 eV/atom.